A plane-wave DFT calculation with meta-GGA SCAN was carried out for a crystal of SrHfCd3 relaxed with PBEsol.

Results
Formation enthalpy at 0 K, meV/atom: 362
Space group: Pm-3m
Energy, eV/atom: -34.877
Magnetization, μB per atom: 0.392

```
5
Lattice="-0.593 0.715 -5.345 4.751 -2.475 -0.858 -2.552 -4.774 -0.356" Properties=species:S:1:pos:R:3 pbc="T T T"
Sr 0.803 -3.267 -3.279
Hf 0.000 0.000 0.000
Cd 2.375 -1.237 -0.429
Cd -1.276 -2.387 -0.178
Cd -0.297 0.358 -2.672
```

---

A plane-wave DFT calculation with meta-GGA SCAN was carried out for a crystal of HfTa3Cd relaxed with PBEsol.

Results
Formation enthalpy at 0 K, meV/atom: 1815
Space group: Pm-3m
Energy, eV/atom: -56.753
Magnetization, μB per atom: 0.000

```
5
Lattice="-1.651 -2.188 4.005 -1.070 -3.955 -2.601 4.436 -1.768 0.863" Properties=species:S:1:pos:R:3 pbc="T T T"
Cd 0.858 -3.955 1.133
Hf 0.000 0.000 0.000
Ta -0.535 -1.977 -1.301
Ta 2.218 -0.884 0.432
Ta -0.825 -1.094 2.003
```

---

A plane-wave DFT calculation with meta-GGA SCAN was carried out for a crystal of HfCdTe2 relaxed with PBEsol.

Results
Space group: R-3m
Formation energy (no corrections), meV/atom: 290
Energy, eV/atom: -41.607
Magnetization, μB per atom: 0.000

```
4
Lattice="3.891 0.000 0.000 1.945 3.370 0.000 1.945 1.123 9.093" Properties=species:S:1:pos:R:3 pbc="T T T"
Te 5.836 3.370 2.698
Te 1.945 1.123 6.394
Hf 0.000 0.000 0.000
Cd 3.891 2.246 4.546
```

---

A plane-wave DFT calculation with meta-GGA SCAN was carried out for a crystal of Hf3TlCd relaxed with PBEsol.

Results
Formation enthalpy at 0 K, meV/atom: 1169
Space group: Pm-3m
Energy, eV/atom: -56.989
Magnetization, μB per atom: 0.000

```
5
Lattice="-0.209 4.860 -1.839 -4.428 0.797 2.607 2.718 1.670 4.106" Properties=species:S:1:pos:R:3 pbc="T T T"
Tl 0.000 0.000 0.000
Hf -2.214 0.398 1.304
Hf 1.359 0.835 2.053
Hf -0.104 2.430 -0.919
Cd -0.959 3.663 2.437
```

---

A plane-wave DFT calculation with meta-GGA SCAN was carried out for a crystal of CdHg3 relaxed with PBEsol.

Results
Formation enthalpy at 0 K, meV/atom: 43
Space group: Pmm2
Energy, eV/atom: -58.685
Energy relative to the lowest polymorph listed for this composition, meV per atom: 31.0
Magnetization, μB per atom: 0.000

```
4
Lattice="3.167 0.000 0.000 0.000 4.954 0.000 0.000 0.000 5.722" Properties=species:S:1:pos:R:3 pbc="T T T"
Hg 0.000 2.477 1.859
Hg 1.583 0.000 2.896
Hg 1.583 2.477 4.759
Cd 0.000 0.000 0.023
```

---

A plane-wave DFT calculation with meta-GGA SCAN was carried out for a crystal of Cd3Hg relaxed with PBEsol.

Results
Formation enthalpy at 0 K, meV/atom: 29
Space group: P-6m2
Energy, eV/atom: -39.824
Magnetization, μB per atom: 0.000

```
4
Lattice="-0.129 -2.165 2.055 -1.268 -0.402 -2.675 9.409 -4.196 -3.827" Properties=species:S:1:pos:R:3 pbc="T T T"
Hg 4.705 -2.098 -1.914
Cd 1.450 -2.033 -2.050
Cd 6.182 -4.143 -3.974
Cd 0.000 0.000 0.000
```

---

A plane-wave DFT calculation with meta-GGA SCAN was carried out for a crystal of Cd2Hg relaxed with PBEsol.

Results
Formation enthalpy at 0 K, meV/atom: 63
Space group: P4/mmm
Energy, eV/atom: -42.936
Magnetization, μB per atom: 0.000

```
3
Lattice="-2.779 -0.907 2.953 3.138 -0.851 2.692 0.018 4.031 1.254" Properties=species:S:1:pos:R:3 pbc="T T T"
Hg 0.000 0.000 0.000
Cd -1.381 1.562 2.104
Cd 0.180 -0.879 2.822
```

---

A plane-wave DFT calculation with meta-GGA SCAN was carried out for a crystal of Cd3Hg relaxed with PBEsol.

Results
Formation enthalpy at 0 K, meV/atom: 55
Space group: R-3m
Energy, eV/atom: -39.798
Magnetization, μB per atom: 0.000

```
4
Lattice="3.356 0.000 0.000 -1.119 5.483 0.000 -1.119 -2.742 4.749" Properties=species:S:1:pos:R:3 pbc="T T T"
Hg 0.000 0.000 0.000
Cd 1.119 2.742 0.000
Cd -1.119 1.371 2.374
Cd 1.119 -1.371 2.374
```

---

A plane-wave DFT calculation with meta-GGA SCAN was carried out for a crystal of CdHg3 relaxed with PBEsol.

Results
Formation enthalpy at 0 K, meV/atom: 40
Space group: P4/mmm
Energy, eV/atom: -58.688
Energy relative to the lowest polymorph listed for this composition, meV per atom: 28.3
Magnetization, μB per atom: 0.000

```
4
Lattice="3.428 0.000 0.000 0.000 5.158 0.000 0.000 0.000 5.158" Properties=species:S:1:pos:R:3 pbc="T T T"
Hg 1.714 0.000 2.579
Hg 1.714 2.579 0.000
Hg 0.000 2.579 2.579
Cd 0.000 0.000 0.000
```

---

A plane-wave DFT calculation with meta-GGA SCAN was carried out for a crystal of Cd2Hg relaxed with PBEsol.

Results
Formation enthalpy at 0 K, meV/atom: 8
Space group: Cmcm
Energy, eV/atom: -42.990
Magnetization, μB per atom: 0.000

```
6
Lattice="3.090 0.000 0.000 0.000 5.498 0.000 -1.545 0.000 7.548" Properties=species:S:1:pos:R:3 pbc="T T T"
Hg 1.545 1.375 5.833
Hg 0.000 4.124 1.714
Cd 0.000 1.375 3.306
Cd 0.000 4.124 6.744
Cd 1.545 1.375 0.804
Cd 1.545 4.124 4.241
```

---

A plane-wave DFT calculation with meta-GGA SCAN was carried out for a crystal of Cd5Hg relaxed with PBEsol.

Results
Formation enthalpy at 0 K, meV/atom: 16
Space group: Cmmm
Energy, eV/atom: -36.691
Magnetization, μB per atom: 0.000

```
6
Lattice="4.430 0.000 0.000 0.000 4.359 0.000 -2.215 0.000 6.536" Properties=species:S:1:pos:R:3 pbc="T T T"
Hg 2.215 0.000 0.000
Cd 0.000 2.180 4.340
Cd 0.000 0.000 2.188
Cd 0.000 2.180 0.000
Cd 2.215 0.000 4.348
Cd 2.215 2.180 2.196
```

---

A plane-wave DFT calculation with meta-GGA SCAN was carried out for a crystal of CdHg5 relaxed with PBEsol.

Results
Formation enthalpy at 0 K, meV/atom: 38
Space group: Cm
Energy, eV/atom: -61.836
Magnetization, μB per atom: 0.000

```
6
Lattice="-0.453 -3.156 0.534 5.285 0.292 -3.578 2.347 0.779 6.602" Properties=species:S:1:pos:R:3 pbc="T T T"
Hg 4.524 -0.791 -0.835
Hg 2.364 -1.760 1.391
Hg 1.893 0.342 3.630
Hg 5.053 -0.344 2.255
Hg 4.089 -1.391 5.039
Cd 0.076 -0.005 0.035
```

---

A plane-wave DFT calculation with meta-GGA SCAN was carried out for a crystal of Cd2Hg relaxed with PBEsol.

Results
Formation enthalpy at 0 K, meV/atom: 48
Space group: P-3m1
Energy, eV/atom: -42.950
Magnetization, μB per atom: 0.000

```
3
Lattice="3.184 0.000 0.000 0.000 4.884 0.000 0.000 -2.442 4.230" Properties=species:S:1:pos:R:3 pbc="T T T"
Hg 0.000 0.000 0.000
Cd 2.259 0.000 2.820
Cd 0.925 2.442 1.410
```

---

A plane-wave DFT calculation with meta-GGA SCAN was carried out for a crystal of Cd3Hg relaxed with PBEsol.

Results
Formation enthalpy at 0 K, meV/atom: -1
Space group: Pmmn
Energy, eV/atom: -39.854
Magnetization, μB per atom: 0.000

```
8
Lattice="-1.334 -2.768 -4.182 5.069 0.789 -2.140 1.880 -4.904 2.646" Properties=species:S:1:pos:R:3 pbc="T T T"
Cd 1.637 -1.467 -3.882
Cd -0.632 -3.524 -2.796
Cd 2.772 -1.302 -1.133
Cd 0.503 -3.359 -0.047
Cd 0.303 -5.962 -1.481
Cd 3.718 -3.767 0.198
Hg -0.439 -0.910 -1.375
Hg 2.579 -3.915 -2.554
```

---

A plane-wave DFT calculation with meta-GGA SCAN was carried out for a crystal of Cd2Hg relaxed with PBEsol.

Results
Formation enthalpy at 0 K, meV/atom: 76
Space group: I4/mcm
Energy, eV/atom: -42.922
Magnetization, μB per atom: 0.000

```
6
Lattice="-2.298 3.810 3.467 -0.056 -5.305 1.917 5.415 1.442 -0.646" Properties=species:S:1:pos:R:3 pbc="T T T"
Hg -0.589 -0.374 1.346
Hg -1.766 -1.121 4.038
Cd 2.832 2.835 2.025
Cd 2.343 -0.562 0.868
Cd 0.718 0.509 3.870
Cd 0.229 -2.888 2.713
```

---

A plane-wave DFT calculation with meta-GGA SCAN was carried out for a crystal of Cd2Hg relaxed with PBEsol.

Results
Formation enthalpy at 0 K, meV/atom: 13
Space group: Immm
Energy, eV/atom: -42.985
Magnetization, μB per atom: 0.000

```
3
Lattice="-0.784 -2.878 1.121 -1.428 -1.151 -3.955 5.297 0.460 0.357" Properties=species:S:1:pos:R:3 pbc="T T T"
Hg -1.106 -2.015 -1.417
Cd 1.681 -3.048 -2.123
Cd 1.404 -0.521 -0.355
```

---

A plane-wave DFT calculation with meta-GGA SCAN was carried out for a crystal of Cd3Hg4 relaxed with PBEsol.

Results
Formation enthalpy at 0 K, meV/atom: 46
Space group: P6/mmm
Energy, eV/atom: -51.941
Energy relative to the lowest polymorph listed for this composition, meV per atom: 49.8
Magnetization, μB per atom: 0.000

```
7
Lattice="-3.822 0.827 4.156 4.631 -3.188 0.976 2.815 4.602 1.673" Properties=species:S:1:pos:R:3 pbc="T T T"
Cd 2.316 -1.594 0.488
Cd -1.911 0.414 2.078
Cd 0.405 -1.180 2.566
Hg 2.092 3.420 1.243
Hg 0.723 1.182 0.430
Hg 3.221 0.451 2.872
Hg 0.403 1.790 3.932
```

---

A plane-wave DFT calculation with meta-GGA SCAN was carried out for a crystal of Cd2Hg relaxed with PBEsol.

Results
Formation enthalpy at 0 K, meV/atom: 21
Space group: I4/mmm
Energy, eV/atom: -42.977
Magnetization, μB per atom: 0.000

```
3
Lattice="3.136 0.000 0.000 0.000 3.136 0.000 -1.568 -1.568 6.486" Properties=species:S:1:pos:R:3 pbc="T T T"
Hg 0.000 0.000 0.000
Cd 1.568 1.568 2.176
Cd 0.000 0.000 4.310
```

---

A plane-wave DFT calculation with meta-GGA SCAN was carried out for a crystal of CdHg3 relaxed with PBEsol.

Results
Formation enthalpy at 0 K, meV/atom: 32
Space group: R-3m
Energy, eV/atom: -58.696
Energy relative to the lowest polymorph listed for this composition, meV per atom: 20.5
Magnetization, μB per atom: 0.000

```
4
Lattice="-1.957 2.401 -1.713 -3.182 -1.130 4.490 4.733 2.848 1.022" Properties=species:S:1:pos:R:3 pbc="T T T"
Hg -2.570 0.635 1.388
Hg 0.776 0.859 2.756
Hg 1.388 2.624 -0.346
Cd 0.000 0.000 0.000
```

---

A plane-wave DFT calculation with meta-GGA SCAN was carried out for a crystal of Cd6Hg7 relaxed with PBEsol.

Results
Formation enthalpy at 0 K, meV/atom: 104
Space group: R-3m
Energy, eV/atom: -50.639
Magnetization, μB per atom: 0.000

```
13
Lattice="6.145 0.000 0.000 3.073 5.322 0.000 3.073 1.774 9.265" Properties=species:S:1:pos:R:3 pbc="T T T"
Cd 9.218 5.322 1.404
Cd 3.073 1.774 7.861
Cd 9.218 5.322 4.311
Cd 3.073 1.774 4.954
Cd 6.145 3.548 0.037
Cd 6.145 3.548 9.227
Hg 4.573 2.640 2.371
Hg 7.717 2.640 2.371
Hg 6.145 5.363 2.371
Hg 7.717 4.456 6.893
Hg 6.145 1.732 6.893
Hg 4.573 4.456 6.893
Hg 6.145 3.548 4.632
```